The following is a PBE calculation of an optimized crystal structure of Cu2Ag, from OQMD via LeMat-Bulk.

```
Cu2Ag
1.0
6.864 -1.387 0.000
6.864 1.387 0.000
-4.072 0.000 6.559
Cu Ag
6 3
direct
0.000 0.000 0.000
0.203 0.203 0.305
0.537 0.537 0.302
0.654 0.654 0.994
0.746 0.746 0.613
0.868 0.868 0.307
0.091 0.091 0.641
0.322 0.322 0.971
0.418 0.418 0.653
```

SG: Cm
Formation energy, eV per formula unit: 0.273